# 1
# PBE RePbSe2, optimized geometry
# total DFT energy (no corrections) = -5.02 eV per atom
data_RePbSe2
_symmetry_space_group_name_H-M 'P 4/m m m'
_symmetry_Int_Tables_number 123
_symmetry_space_group_name_Hall '-P 4 2'
_cell_length_a 4.998
_cell_length_b 4.998
_cell_length_c 3.274
_cell_angle_alpha 90.00
_cell_angle_beta 90.00
_cell_angle_gamma 90.00
loop_
_atom_site_label
_atom_site_type_symbol
_atom_site_fract_x
_atom_site_fract_y
_atom_site_fract_z
Re1 Re 0.000 0.000 0.000
Pb1 Pb 0.500 0.500 0.000
Se1 Se 0.000 0.500 0.500



# 2
# PBE Re3PbSe, optimized geometry
# distance to the lowest polymorph of the same formula = 1678.4 meV per atom
# total DFT energy (no corrections) = -5.50 eV per atom
data_Re3PbSe
_symmetry_space_group_name_H-M 'P m -3 m'
_symmetry_Int_Tables_number 221
_symmetry_space_group_name_Hall '-P 4 2 3'
_cell_length_a 4.995
_cell_length_b 4.995
_cell_length_c 4.995
_cell_angle_alpha 90.00
_cell_angle_beta 90.00
_cell_angle_gamma 90.00
loop_
_atom_site_label
_atom_site_type_symbol
_atom_site_fract_x
_atom_site_fract_y
_atom_site_fract_z
Re1 Re 0.000 0.000 0.500
Pb1 Pb 0.000 0.000 0.000
Se1 Se 0.500 0.500 0.500



# 3
# PBE Re4PbSe7, optimized geometry
# total DFT energy (no corrections) = -6.41 eV per atom
data_Re4PbSe7
_symmetry_space_group_name_H-M 'P m n 21'
_symmetry_Int_Tables_number 31
_cell_length_a 18.102
_cell_length_b 5.269
_cell_length_c 5.281
_cell_angle_alpha 90.00
_cell_angle_beta 90.00
_cell_angle_gamma 90.00
loop_
_symmetry_equiv_pos_as_xyz
'x,y,z'
'-x+1/2,-y,z+1/2'
'-x,y,z'
'x+1/2,-y,z+1/2'
loop_
_atom_site_label
_atom_site_type_symbol
_atom_site_fract_x
_atom_site_fract_y
_atom_site_fract_z
Re1 Re 0.139 0.173 0.000
Re2 Re 0.241 0.131 0.626
Pb1 Pb 0.000 0.632 0.533
Se1 Se 0.000 0.300 0.049
Se2 Se 0.104 0.171 0.551
Se3 Se 0.127 0.712 0.107
Se4 Se 0.244 0.672 0.677



# 4
# PBE Re2PbSe, optimized geometry
# distance to the lowest polymorph of the same formula = 777.9 meV per atom
# total DFT energy (no corrections) = -6.92 eV per atom
data_Re2PbSe
_symmetry_space_group_name_H-M 'P 4/m m m'
_symmetry_Int_Tables_number 123
_symmetry_space_group_name_Hall '-P 4 2'
_cell_length_a 4.621
_cell_length_b 4.621
_cell_length_c 3.249
_cell_angle_alpha 90.00
_cell_angle_beta 90.00
_cell_angle_gamma 90.00
loop_
_atom_site_label
_atom_site_type_symbol
_atom_site_fract_x
_atom_site_fract_y
_atom_site_fract_z
Re1 Re 0.000 0.500 0.000
Pb1 Pb 0.000 0.000 0.500
Se1 Se 0.500 0.500 0.500



# 5
# PBE Re2PbSe, optimized geometry
# distance to the lowest polymorph of the same formula = 702.5 meV per atom
# total DFT energy (no corrections) = -7.00 eV per atom
data_Re2PbSe
_symmetry_space_group_name_H-M 'I m m m'
_symmetry_Int_Tables_number 71
_symmetry_space_group_name_Hall '-I 2 2'
_cell_length_a 3.030
_cell_length_b 5.098
_cell_length_c 9.413
_cell_angle_alpha 90.00
_cell_angle_beta 90.00
_cell_angle_gamma 90.00
loop_
_atom_site_label
_atom_site_type_symbol
_atom_site_fract_x
_atom_site_fract_y
_atom_site_fract_z
Re1 Re 0.000 0.000 0.216
Pb1 Pb 0.000 0.500 0.000
Se1 Se 0.000 0.500 0.500



# 6
# PBE Re3PbSe, optimized geometry
# distance to the lowest polymorph of the same formula = 0.0 meV per atom
# total DFT energy (no corrections) = -7.18 eV per atom
data_Re3PbSe
_symmetry_space_group_name_H-M 'P m -3 m'
_symmetry_Int_Tables_number 221
_symmetry_space_group_name_Hall '-P 4 2 3'
_cell_length_a 4.649
_cell_length_b 4.649
_cell_length_c 4.649
_cell_angle_alpha 90.00
_cell_angle_beta 90.00
_cell_angle_gamma 90.00
loop_
_atom_site_label
_atom_site_type_symbol
_atom_site_fract_x
_atom_site_fract_y
_atom_site_fract_z
Re1 Re 0.000 0.000 0.500
Pb1 Pb 0.500 0.500 0.500
Se1 Se 0.000 0.000 0.000



# 7
# PBE RePb2Se, optimized geometry
# total DFT energy (no corrections) = -5.01 eV per atom
data_RePb2Se
_symmetry_space_group_name_H-M 'C 1 2/m 1'
_symmetry_Int_Tables_number 12
_cell_length_a 6.630
_cell_length_b 8.134
_cell_length_c 3.367
_cell_angle_alpha 90.00
_cell_angle_beta 90.55
_cell_angle_gamma 90.00
loop_
_symmetry_equiv_pos_as_xyz
'x,y,z'
'-x,-y,-z'
'-x,y,-z'
'x,-y,z'
'x+1/2,y+1/2,z'
'-x+1/2,-y+1/2,-z'
'-x+1/2,y+1/2,-z'
'x+1/2,-y+1/2,z'
loop_
_atom_site_label
_atom_site_type_symbol
_atom_site_fract_x
_atom_site_fract_y
_atom_site_fract_z
Re1 Re 0.000 0.000 0.000
Pb1 Pb 0.250 0.250 0.500
Se1 Se 0.000 0.500 0.000



# 8
# PBE RePb2Se, optimized geometry
# total DFT energy (no corrections) = -4.86 eV per atom
data_RePb2Se
_symmetry_space_group_name_H-M 'P m m m'
_symmetry_Int_Tables_number 47
_cell_length_a 3.458
_cell_length_b 4.872
_cell_length_c 5.364
_cell_angle_alpha 90.00
_cell_angle_beta 90.00
_cell_angle_gamma 90.00
loop_
_symmetry_equiv_pos_as_xyz
'x,y,z'
'-x,-y,-z'
'-x,-y,z'
'x,y,-z'
'x,-y,-z'
'-x,y,z'
'-x,y,-z'
'x,-y,z'
loop_
_atom_site_label
_atom_site_type_symbol
_atom_site_fract_x
_atom_site_fract_y
_atom_site_fract_z
Re1 Re 0.000 0.000 0.000
Pb1 Pb 0.000 0.500 0.500
Pb2 Pb 0.500 0.500 0.000
Se1 Se 0.500 0.000 0.500



# 9
# PBE Re2PbSe, optimized geometry
# distance to the lowest polymorph of the same formula = 801.8 meV per atom
# total DFT energy (no corrections) = -6.90 eV per atom
data_Re2PbSe
_symmetry_space_group_name_H-M 'F m -3 m'
_symmetry_Int_Tables_number 225
_symmetry_space_group_name_Hall '-F 4 2 3'
_cell_length_a 6.524
_cell_length_b 6.524
_cell_length_c 6.524
_cell_angle_alpha 90.00
_cell_angle_beta 90.00
_cell_angle_gamma 90.00
loop_
_atom_site_label
_atom_site_type_symbol
_atom_site_fract_x
_atom_site_fract_y
_atom_site_fract_z
Re1 Re 0.250 0.250 0.250
Pb1 Pb 0.000 0.000 0.000
Se1 Se 0.000 0.000 0.500



# 10
# PBE Re2PbSe, optimized geometry
# distance to the lowest polymorph of the same formula = 562.1 meV per atom
# total DFT energy (no corrections) = -7.14 eV per atom
data_Re2PbSe
_symmetry_space_group_name_H-M 'P 1 2/m 1'
_symmetry_Int_Tables_number 10
_cell_length_a 4.304
_cell_length_b 4.266
_cell_length_c 4.737
_cell_angle_alpha 90.00
_cell_angle_beta 95.86
_cell_angle_gamma 90.00
loop_
_symmetry_equiv_pos_as_xyz
'x,y,z'
'-x,-y,-z'
'-x,y,-z'
'x,-y,z'
loop_
_atom_site_label
_atom_site_type_symbol
_atom_site_fract_x
_atom_site_fract_y
_atom_site_fract_z
Re1 Re 0.232 0.000 0.145
Pb1 Pb 0.000 0.500 0.500
Se1 Se 0.500 0.500 0.000



# 11
# PBE Re2PbSe, optimized geometry
# distance to the lowest polymorph of the same formula = 363.7 meV per atom
# total DFT energy (no corrections) = -7.34 eV per atom
data_Re2PbSe
_symmetry_space_group_name_H-M 'C m m 2'
_symmetry_Int_Tables_number 35
_cell_length_a 3.072
_cell_length_b 5.014
_cell_length_c 10.384
_cell_angle_alpha 90.00
_cell_angle_beta 90.00
_cell_angle_gamma 90.00
loop_
_symmetry_equiv_pos_as_xyz
'x,y,z'
'-x,-y,z'
'-x,y,z'
'x,-y,z'
'x+1/2,y+1/2,z'
'-x+1/2,-y+1/2,z'
'-x+1/2,y+1/2,z'
'x+1/2,-y+1/2,z'
loop_
_atom_site_label
_atom_site_type_symbol
_atom_site_fract_x
_atom_site_fract_y
_atom_site_fract_z
Re1 Re 0.000 0.000 0.000
Re2 Re 0.000 0.500 0.200
Pb1 Pb 0.000 0.000 0.458
Se1 Se 0.000 0.500 0.795



# 12
# PBE RePb2Se, optimized geometry
# total DFT energy (no corrections) = -5.11 eV per atom
data_RePb2Se
_symmetry_space_group_name_H-M 'C m m m'
_symmetry_Int_Tables_number 65
_symmetry_space_group_name_Hall '-C 2 2'
_cell_length_a 4.156
_cell_length_b 4.466
_cell_length_c 10.308
_cell_angle_alpha 90.00
_cell_angle_beta 90.00
_cell_angle_gamma 90.00
loop_
_atom_site_label
_atom_site_type_symbol
_atom_site_fract_x
_atom_site_fract_y
_atom_site_fract_z
Re1 Re 0.000 0.000 0.000
Pb1 Pb 0.000 0.500 0.214
Se1 Se 0.000 0.000 0.500



Table of raw formation energy (eV per atom), in record order: 0.757 3.405 0.080 1.101 1.025 1.727 0.825 0.975 1.124 0.885 0.686 0.728